{
  "formula": "PtW2Cl",
  "functional": "meta-GGA SCAN",
  "state": "single point on PBEsol structure",
  "raw_formation_energy_ev_per_atom": 0.503,
  "total_magnetization_mub_per_fu": 0.0,
  "dos_at_fermi_per_ev_atom": 0.5064,
  "lattice": [[2.7609, 0.0000, 0.0000], [0.0000, 4.2729, 0.0000], [-1.3804, 0.0000, 5.1587]],
  "species": ["W", "W", "Pt", "Cl"],
  "fractional_positions": [[0.0808, 0.0000, 0.1617], [0.4265, 0.5000, 0.8530], [0.6844, 0.5000, 0.3687], [0.3190, 0.0000, 0.6380]]
}